1.
The following is a DFT calculation (PBE) of a relaxed structure of KSb3C.

Unit cell a=5.9303 b=5.9303 c=5.9303 alpha=90.00 beta=90.00 gamma=90.00
Last column: nearest neighbours and their distance in Å.
Element x y z (fractional)
K: 0.0000 0.0000 0.0000  6 Sb 2.97
Sb: 0.0000 0.0000 0.5000  2 K 2.97
Sb: 0.0000 0.5000 0.0000  2 K 2.97
Sb: 0.5000 0.0000 0.0000  2 K 2.97
C: 0.5000 0.5000 0.5000  12 Sb 4.19

Results
The calculation puts the distance to the lowest polymorph of the same formula at 1826 meV/atom. As for the formation energy (no corrections): 1265 kJ/mol of formula units. Its volume is 41.71 Å³ per atom. Its space group is Pm-3m, No. 221.


2.
The following is a DFT calculation (PBE) of a relaxed structure of KSb3C.

Unit cell a=5.0039 b=5.0039 c=5.0039 alpha=90.00 beta=90.00 gamma=90.00
Last column: nearest neighbours and their distance in Å.
Element x y z (fractional)
K: 0.0000 0.0000 0.0000  12 Sb 3.54
Sb: 0.0000 0.5000 0.5000  2 C 2.50
Sb: 0.5000 0.0000 0.5000  2 C 2.50
Sb: 0.5000 0.5000 0.0000  2 C 2.50
C: 0.5000 0.5000 0.5000  6 Sb 2.50

Results
The calculation puts the distance to the lowest polymorph of the same formula at 0 meV/atom. As for the formation energy (no corrections): 384 kJ/mol of formula units. Its volume is 25.06 Å³ per atom. Its space group is Pm-3m, No. 221.


3.
The following is a DFT calculation (PBE) of a relaxed structure of KSbTe2C.

Unit cell a=5.3831 b=5.3831 c=4.6144 alpha=90.00 beta=90.00 gamma=90.00
Last column: nearest neighbours and their distance in Å.
Element x y z (fractional)
K: 0.0000 0.0000 0.0000  8 Te 3.55, 4 Sb 3.81
Sb: 0.5000 0.5000 0.0000  2 C 2.31
Te: 0.0000 0.5000 0.5000  2 C 2.69
Te: 0.5000 0.0000 0.5000  2 C 2.69
C: 0.5000 0.5000 0.5000  2 Sb 2.31

Results
The calculation puts the distance to the lowest polymorph of the same formula at 0 meV/atom. As for the formation energy (no corrections): 320 kJ/mol of formula units. Its volume is 26.74 Å³ per atom. Its space group is P4/mmm, No. 123.